Entry 1:
A relaxed ZrPaGaRe crystal. Source: the Alexandria database, functional GGA-PBE.

Lattice parameters (Å, degrees): 6.862 6.862 6.862 90.00 90.00 90.00
Space group F-43m (No. 216)
One atom of each set of equivalent atoms:
Zr1 0.000 0.000 0.000
Pa1 0.000 0.000 0.500
Ga1 0.250 0.250 0.250
Re1 0.250 0.250 0.750

Output
V: 323 Å³ per cell
DFT formation energy: -34 kJ/mol of formula units
Magnetic moment: 0.001 μB/f.u.



Entry 2:
A relaxed Pa2Ga2Rh3 crystal. Source: the Alexandria database, functional GGA-PBE.

Lattice parameters (Å, degrees): 8.189 8.189 8.189 90.00 90.00 90.00
Space group I2_13 (No. 199)
One atom of each set of equivalent atoms:
Pa1 0.005 0.005 0.005
Ga1 0.197 0.303 0.697
Rh1 0.000 0.250 0.248

Output
V: 549 Å³ per cell
DFT formation energy: -418 kJ/mol of formula units
Magnetic moment: 0.000 μB/f.u.



Entry 3:
A relaxed Pa3Ga4Rh2 crystal. Source: the Alexandria database, functional GGA-PBE.

Lattice parameters (Å, degrees): 7.3926 7.3926 3.7608 90.00 90.00 120.00
Space group P-62m (No. 189)
One atom of each set of equivalent atoms:
Pa1 0.0000 0.4020 0.0000
Ga1 0.0000 0.0000 0.0000
Ga2 0.0000 0.7411 0.5000
Rh1 0.3333 0.6667 0.5000

Output
V: 178 Å³ per cell
DFT formation energy: -504 kJ/mol of formula units
Magnetic moment: 0.000 μB/f.u.
E above lowest polymorph: 0.0300 eV per atom



Entry 4:
A relaxed PaGa9Rh2 crystal. Source: the Alexandria database, functional GGA-PBE.

Lattice parameters (Å, degrees): 10.345 10.345 7.599 90.00 90.00 90.00
Space group I4_1/amd (No. 141, origin choice 2)
One atom of each set of equivalent atoms:
Pa1 0.000 0.250 0.375
Ga1 0.000 0.250 0.875
Ga2 0.120 0.044 0.681
Rh1 0.000 0.000 0.000

Output
V: 813 Å³ per cell
DFT formation energy: -340 kJ/mol of formula units
Magnetic moment: 0.004 μB/f.u.



Entry 5:
A relaxed Pa2GaRh9 crystal. Source: the Alexandria database, functional GGA-PBE.

Lattice parameters (Å, degrees): 4.036 4.036 11.722 90.00 90.00 90.00
Space group P4/mmm (No. 123)
One atom of each set of equivalent atoms:
Pa1 0.000 0.000 0.175
Ga1 0.000 0.000 0.500
Rh1 0.000 0.500 0.000
Rh2 0.000 0.500 0.346
Rh3 0.500 0.500 0.173
Rh4 0.500 0.500 0.500

Output
V: 191 Å³ per cell
DFT formation energy: -793 kJ/mol of formula units
Magnetic moment: 0.000 μB/f.u.



Entry 6:
A relaxed Pa2Ga3Rh crystal. Source: the Alexandria database, functional GGA-PBE.

Lattice parameters (Å, degrees): 6.587 9.053 15.682 90.00 90.00 90.00
Space group Fmmm (No. 69)
One atom of each set of equivalent atoms:
Pa1 0.233 0.000 0.000
Pa2 0.250 0.250 0.250
Ga1 0.000 0.000 0.333
Ga2 0.000 0.248 0.416
Rh1 0.000 0.000 0.167

Output
V: 935 Å³ per cell
DFT formation energy: -300 kJ/mol of formula units
Magnetic moment: 0.000 μB/f.u.
E above lowest polymorph: 0.0343 eV per atom



Entry 7:
A relaxed Pa2Ga6Rh crystal. Source: the Alexandria database, functional GGA-PBE.

Lattice parameters (Å, degrees): 5.9789 5.9789 5.3937 90.00 90.00 120.00
Space group P-3m1 (No. 164)
One atom of each set of equivalent atoms:
Pa1 0.3333 0.6667 0.3210
Ga1 0.1785 0.3570 0.8152
Rh1 0.0000 0.0000 0.5000

Output
V: 167 Å³ per cell
DFT formation energy: -403 kJ/mol of formula units
Magnetic moment: 0.000 μB/f.u.



Entry 8:
A relaxed Pa3Ga12Rh crystal. Source: the Alexandria database, functional GGA-PBE.

Lattice parameters (Å, degrees): 4.309 4.309 16.130 90.00 90.00 90.00
Space group P4/mmm (No. 123)
One atom of each set of equivalent atoms:
Pa1 0.000 0.000 0.000
Pa2 0.000 0.000 0.267
Ga1 0.000 0.500 0.133
Ga2 0.000 0.500 0.398
Ga3 0.500 0.500 0.000
Ga4 0.500 0.500 0.260
Ga5 0.500 0.500 0.500
Rh1 0.000 0.000 0.500

Output
V: 300 Å³ per cell
DFT formation energy: -551 kJ/mol of formula units
Magnetic moment: 0.000 μB/f.u.